# 1
Ac9Co3Hg: optimized geometry, GGA-PBE.

Summary:
- ΔE_f: -0.059 eV per atom

a = 7.3075 Å, b = 11.1242 Å, c = 11.9823 Å
α = 90.00°, β = 95.79°, γ = 90.00°
Last column: nearest neighbours and their distance in Å.
Atoms (fractional coordinates):
Ac 0.7490 0.4453 0.5414  2 Co 2.90
Ac 0.5670 0.7500 0.6982  2 Co 2.97
Ac 0.3405 0.9309 0.1237  2 Co 2.83-2.87
Ac 0.2510 0.5547 0.4586  2 Co 2.90
Ac 0.6896 0.7500 0.3509  2 Co 2.91
Ac 0.4330 0.2500 0.3018  2 Co 2.97
Ac 0.2510 0.9453 0.4586  2 Co 2.90
Ac 0.1479 0.9363 0.7974  2 Co 2.84-2.86
Ac 0.3405 0.5691 0.1237  2 Co 2.83-2.87
Co 0.5529 0.5050 0.3256  6 Ac 2.83-2.97
Ac 0.1375 0.2500 0.9741  2 Co 2.98
Co 0.4471 0.4950 0.6744  6 Ac 2.83-2.97
Hg 0.0257 0.2500 0.4110  6 Ac 3.36-3.45
Co 0.4471 0.0050 0.6744  6 Ac 2.83-2.97
Ac 0.8521 0.4363 0.2026  2 Co 2.84-2.86
Ac 0.6595 0.0691 0.8763  2 Co 2.83-2.87
Co 0.5529 0.9950 0.3256  6 Ac 2.83-2.97
Ac 0.7490 0.0547 0.5414  2 Co 2.90
Ac 0.6595 0.4309 0.8763  2 Co 2.83-2.87
Co 0.0000 0.0000 0.0000  6 Ac 2.84-2.98
Ac 0.8521 0.0637 0.2026  2 Co 2.84-2.86
Ac 0.8625 0.7500 0.0259  2 Co 2.98
Ac 0.1479 0.5637 0.7974  2 Co 2.84-2.86
Co 0.0000 0.5000 0.0000  6 Ac 2.84-2.98
Ac 0.3104 0.2500 0.6491  2 Co 2.91
Hg 0.9743 0.7500 0.5890  6 Ac 3.36-3.45



# 2
RbTiTl2Sb: optimized geometry, GGA-PBE.

Summary:
- ΔE_f (raw): -0.090 eV/atom

a = 5.5776 Å, b = 5.5776 Å, c = 5.3545 Å
α = 90.00°, β = 90.00°, γ = 90.00°
Last column: nearest neighbours and their distance in Å.
Atoms (fractional coordinates):
Tl 0.5000 0.0000 0.0000  2 Ti 2.79
Rb 0.5000 0.5000 0.5000  8 Tl 3.87, 4 Sb 3.94
Sb 0.0000 0.0000 0.5000  2 Ti 2.68
Tl 0.0000 0.5000 0.0000  2 Ti 2.79
Ti 0.0000 0.0000 0.0000  2 Sb 2.68, 4 Tl 2.79



# 3
Ni3C4: optimized geometry, GGA-PBE.

Summary:
- Excess energy over the best structure of this formula in the dataset: 5.02 eV per formula unit
- ΔE_f: 1.617 eV per atom

a = 3.9839 Å, b = 3.9839 Å, c = 3.9839 Å
α = 90.00°, β = 90.00°, γ = 90.00°
Last column: nearest neighbours and their distance in Å.
Atoms (fractional coordinates):
Ni 0.0000 0.5000 0.0000  6 C 1.99
Ni 0.0000 0.0000 0.5000  6 C 1.99
C 0.0000 0.0000 0.0000  6 Ni 1.99
C 0.5000 0.5000 0.0000  4 Ni 1.99
Ni 0.5000 0.0000 0.0000  6 C 1.99
C 0.0000 0.5000 0.5000  4 Ni 1.99
C 0.5000 0.0000 0.5000  4 Ni 1.99



| no. | size of the total moment (μB/cell) | volume (Å³/atom) |
| --- | --- | --- |
| 1 | 0.00 | 37.272 |
| 2 | 0.00 | 33.315 |
| 3 | 0.00 | 9.033 |